[1]
First-principles (GGA-PBE) data for HoMnAlS4 after structural relaxation, as listed in Alexandria.

## Properties
density of states at the Fermi level: 0.117 states/eV/atom
SG: Imma, No. 74
uncorrected formation energy: -1.224 eV per atom

Cell lengths 7.4819, 7.5013, 7.5013 Å; angles 60.53, 60.09, 60.09 degrees
Site moments in Bohr magnetons follow the coordinates.
Positions (direct):
S 0.2595 0.2469 0.7469  0.03
S 0.2533 0.7531 0.2531  0.03
S 0.2556 0.2348 0.2540  0.06
S 0.7444 0.2460 0.2652  0.06
Ho 0.0000 0.0000 0.0000  0.01
Al 0.6306 0.6194 0.1194  0.02
Mn 0.5000 0.0000 0.5000  4.27
Mn 0.0000 0.0000 0.5000  4.27
S 0.7467 0.2469 0.7469  0.03
Al 0.3694 0.3806 0.8806  0.02
S 0.7444 0.7652 0.7460  0.06
Ho 0.0000 0.5000 0.5000  0.01
S 0.7405 0.7531 0.2531  0.03
S 0.2556 0.7540 0.7348  0.06

***

[2]
First-principles (GGA-PBE) data for CoOsSe2 after structural relaxation, as listed in Alexandria.

## Properties
density of states at the Fermi level: 0.951 states/eV/atom
SG: P4/mmm, No. 123
uncorrected formation energy: 0.528 eV per atom

Cell lengths 3.0809, 3.0809, 6.2429 Å; angles 90.00, 90.00, 90.00 degrees
Site moments in Bohr magnetons follow the coordinates.
Positions (direct):
Os 0.5000 0.5000 0.7500  0.05
Se 0.0000 0.0000 0.0079  0.00
Se 0.0000 0.0000 0.4921  0.00
Co 0.5000 0.5000 0.2500  1.03

***

[3]
First-principles (GGA-PBE) data for SrMg2W after structural relaxation, as listed in Alexandria.

## Properties
density of states at the Fermi level: 0.661 states/eV/atom
E_form: 0.780 eV/atom
SG: Imm2, No. 44

Cell lengths 6.3105, 6.3105, 6.3105 Å; angles 151.62, 128.42, 59.91 degrees
Positions (direct):
Mg 0.0148 0.0148 0.0000
Sr 0.4902 0.4902 0.0000
W 0.2288 0.7288 0.5000
Mg 0.7662 0.2662 0.5000

***

[4]
First-principles (GGA-PBE) data for ZnCuPO2 after structural relaxation, as listed in Alexandria.

## Properties
density of states at the Fermi level: 0.593 states/eV/atom
SG: P4/mmm, No. 123
uncorrected formation energy: 0.359 eV per atom

Cell lengths 3.6618, 3.6618, 5.3800 Å; angles 90.00, 90.00, 90.00 degrees
Site moments in Bohr magnetons follow the coordinates.
Positions (direct):
O 0.5000 0.0000 0.0000  0.32
P 0.0000 0.0000 0.5000  0.01
Cu 0.5000 0.5000 0.5000  -0.01
O 0.0000 0.5000 0.0000  0.32
Zn 0.0000 0.0000 0.0000  0.00

***

[5]
First-principles (GGA-PBE) data for Cs2FeAs2 after structural relaxation, as listed in Alexandria.

## Properties
density of states at the Fermi level: 0.583 states/eV/atom
E_form: 0.078 eV/atom
SG: P4/mbm, No. 127

Cell lengths 6.7914, 6.7914, 6.2035 Å; angles 90.00, 90.00, 90.00 degrees
Site moments in Bohr magnetons follow the coordinates.
Positions (direct):
Cs 0.3226 0.1774 0.5000  0.00
Cs 0.1774 0.6774 0.5000  0.00
As 0.3605 0.8605 0.0000  0.00
As 0.1395 0.3605 0.0000  -0.02
Cs 0.6774 0.8226 0.5000  0.00
Cs 0.8226 0.3226 0.5000  0.00
Fe 0.0000 0.0000 0.0000  2.77
Fe 0.5000 0.5000 0.0000  2.76
As 0.8605 0.6395 0.0000  -0.02
As 0.6395 0.1395 0.0000  0.00

***

[6]
First-principles (GGA-PBE) data for GaCu3Sb after structural relaxation, as listed in Alexandria.

## Properties
density of states at the Fermi level: 0.389 states/eV/atom
SG: Pm-3m, No. 221
uncorrected formation energy: 0.505 eV per atom

Cell lengths 4.5373, 4.5373, 4.5373 Å; angles 90.00, 90.00, 90.00 degrees
Positions (direct):
Cu 0.5000 0.0000 0.0000
Cu 0.0000 0.0000 0.5000
Cu 0.0000 0.5000 0.0000
Sb 0.5000 0.5000 0.5000
Ga 0.0000 0.0000 0.0000